Entry 1:
Fe4Ni12Ir PBE relaxed; energy of formation from the pure elements = 3.737 eV/f.u.; magnetization = 20.2 μB per formula unit; E_tot = -6.37 eV/atom
1.0
-1.786 -6.183 -0.565
2.753 1.958 -5.507
4.229 0.586 4.849
Fe Ni Ir
4 12 1
Direct
0.000 0.000 0.500 Fe
0.500 0.000 0.000 Fe
0.500 0.500 0.500 Fe
0.000 0.500 0.000 Fe
0.000 0.310 0.310 Ni
0.000 0.690 0.690 Ni
0.690 0.690 0.000 Ni
0.310 0.310 0.000 Ni
0.310 0.000 0.310 Ni
0.690 0.000 0.690 Ni
0.500 0.250 0.750 Ni
0.500 0.750 0.250 Ni
0.750 0.250 0.500 Ni
0.250 0.750 0.500 Ni
0.750 0.500 0.250 Ni
0.250 0.500 0.750 Ni
0.000 0.000 0.000 Ir

---

Entry 2:
Fe3Ni2Ir2 PBE relaxed; energy of formation from the pure elements = 0.308 eV/f.u.; magnetization = 12.0 μB per formula unit; E_tot = -7.77 eV/atom
1.0
4.065 -0.001 -1.135
-2.034 3.565 0.561
-0.437 0.936 6.283
Fe Ni Ir
3 2 2
Direct
0.000 0.000 0.000 Fe
0.562 0.426 0.699 Fe
0.438 0.574 0.301 Fe
0.141 0.863 0.418 Ni
0.859 0.137 0.582 Ni
0.718 0.289 0.147 Ir
0.282 0.711 0.853 Ir